Here is Sm2GeRh3 at its PBEsol-relaxed geometry from Alexandria. Energies are from meta-GGA SCAN.

Cell lengths 5.086, 5.086, 5.086 Å; angles 66.22, 66.22, 66.22 degrees
Sites, in units of the cell vectors:
Rh1 0.500 0.500 0.000
Rh2 0.500 0.000 0.500
Rh3 0.000 0.500 0.500
Sm1 0.128 0.128 0.128
Sm2 0.872 0.872 0.872
Ge1 0.500 0.500 0.500

Density of states at the Fermi level: 0.50 states/eV per atom
Volume: 17.59 Å³ per atom
ΔH_f (0 K): -0.98 eV/atom
Space group: R-3m (166)